1.
Material: Cr2Ni3B6
Method: DFT, GGA-PBEsol
State: relaxed

Cell and atoms, written as POSCAR:
```
Cr2Ni3B6
1.0
2.908 0.000 0.000
0.000 2.943 0.000
0.000 -1.472 9.963
B Ni Cr
6 3 2
Cartesian
0.000 0.000 5.499 B
1.454 0.000 9.083 B
0.000 1.472 4.473 B
1.454 1.472 0.843 B
1.454 1.472 8.165 B
1.454 0.000 1.811 B
1.454 1.472 6.083 Ni
0.000 0.000 7.587 Ni
1.454 0.000 3.964 Ni
0.000 1.472 9.951 Cr
0.000 1.472 2.319 Cr
```

Values from the calculation:
Crystal system: orthorhombic
Volume in Å³ per cell: 85.26
Uncorrected energy in eV per atom: -7.76



2.
Material: TiBi6P2O16
Method: DFT, GGA-PBEsol
State: relaxed

Cell and atoms, written as POSCAR:
```
TiBi6P2O16
1.0
-3.246 -4.276 -0.119
-0.290 -2.941 -7.525
4.816 -7.073 1.653
O Bi P Ti
16 6 2 1
Cartesian
-3.228 -4.252 -0.119 O
2.869 -10.143 -3.354 O
-1.881 -6.731 -4.923 O
1.748 -5.898 -1.129 O
-1.127 -5.850 0.250 O
2.450 -8.384 -6.241 O
1.820 -7.906 -3.069 O
0.500 -3.750 0.356 O
0.791 -10.526 -6.348 O
1.274 -3.901 -2.700 O
-2.855 -5.816 -2.684 O
1.667 -9.529 -1.124 O
0.355 -9.930 -3.279 O
1.593 -5.678 -4.787 O
-0.412 -6.216 -2.918 O
-1.637 -2.157 -0.060 O
3.080 -7.402 0.134 Bi
-0.633 -8.188 -0.476 Bi
-0.180 -4.755 -6.066 Bi
-1.215 -4.115 -1.126 Bi
0.862 -12.328 -4.926 Bi
0.047 -8.561 -5.584 Bi
-1.842 -6.721 -3.375 P
1.707 -9.434 -2.669 P
1.514 -5.995 -2.964 Ti
```

Values from the calculation:
Crystal system: monoclinic
Raw formation energy in kJ per mole of atoms: -177.82
Volume in Å³ per cell: 339.51



3.
Material: GeB3Ru
Method: DFT, GGA-PBEsol
State: relaxed

Cell and atoms, written as POSCAR:
```
GeB3Ru
1.0
-2.151 -3.093 1.503
3.370 -2.249 0.192
0.687 1.351 3.763
B Ru Ge
3 1 1
Cartesian
-1.075 -1.547 0.752 B
0.343 0.675 1.881 B
1.685 -1.125 0.096 B
0.000 0.000 0.000 Ru
0.953 -1.996 2.729 Ge
```

Values from the calculation:
Crystal system: cubic
Volume in Å³ per cell: 66.74
Uncorrected energy in eV per atom: -6.06



4.
Material: Mg2SbPb
Method: DFT, GGA-PBEsol
State: relaxed

Cell and atoms, written as POSCAR:
```
Mg2SbPb
1.0
-3.424 2.189 0.017
-0.281 -4.233 2.629
2.416 3.752 3.478
Mg Sb Pb
2 1 1
Cartesian
-0.897 2.339 4.019 Mg
-0.393 -0.631 2.105 Mg
-1.712 1.095 0.009 Sb
1.208 1.876 1.739 Pb
```

Values from the calculation:
Crystal system: monoclinic
Raw formation energy in kJ per mole of atoms: -13.73
Volume in Å³ per cell: 100.40
Energy above the most stable polymorph in this dataset in kcal/mol of atoms: 0.000



5.
Material: CaLa2Mg
Method: DFT, GGA-PBEsol
State: relaxed

Cell and atoms, written as POSCAR:
```
CaLa2Mg
1.0
3.651 0.000 0.000
0.000 3.651 0.000
0.000 0.000 9.887
La Ca Mg
2 1 1
Cartesian
0.000 0.000 0.141 La
1.826 1.826 2.621 La
1.826 1.826 7.159 Ca
0.000 0.000 4.909 Mg
```

Values from the calculation:
Crystal system: tetragonal
Volume in Å³ per cell: 131.81
Uncorrected energy in eV per atom: -3.65



6.
Material: AlTlRu
Method: DFT, GGA-PBEsol
State: relaxed

Cell and atoms, written as POSCAR:
```
AlTlRu
1.0
4.265 0.000 0.000
2.132 3.693 0.000
2.132 1.231 3.482
Ru Tl Al
1 1 1
Cartesian
0.000 0.000 0.000 Ru
4.265 2.462 1.741 Tl
2.132 1.231 0.871 Al
```

Values from the calculation:
Crystal system: cubic
Volume in Å³ per cell: 54.85
Energy above the most stable polymorph in this dataset in kcal/mol of atoms: 6.290



7.
Material: Mn2MoI
Method: DFT, GGA-PBEsol
State: relaxed

Cell and atoms, written as POSCAR:
```
Mn2MoI
1.0
-1.820 -2.905 2.628
0.338 -4.215 -0.877
2.480 -2.528 2.472
Mo Mn I
1 2 1
Cartesian
0.000 0.000 0.000 Mo
0.250 -2.412 1.056 Mn
0.749 -7.236 3.167 Mn
0.499 -4.824 2.112 I
```

Values from the calculation:
Crystal system: cubic
Raw formation energy in kJ per mole of atoms: 99.27
Volume in Å³ per cell: 56.96



8.
Material: CuAg2Rh
Method: DFT, GGA-PBEsol
State: relaxed

Cell and atoms, written as POSCAR:
```
CuAg2Rh
1.0
-2.080 0.829 1.422
-0.217 -4.567 1.623
3.955 2.967 1.941
Rh Cu Ag
1 1 2
Cartesian
-0.109 -2.283 0.812 Rh
-1.040 0.415 0.711 Cu
0.829 -0.385 2.493 Ag
1.978 1.483 0.970 Ag
```

Values from the calculation:
Crystal system: monoclinic
Volume in Å³ per cell: 58.90
Uncorrected energy in eV per atom: -4.52